# 1
Below is a relaxed Ho4AlSi4Ni2 crystal, with properties calculated at the PBE level.

Cell: 7.783 7.783 6.814 Å, 107.86 107.86 31.07°
Positions (direct):
1 Si 0.796 0.796 0.726
2 Ho 0.412 0.412 0.615
3 Ho 0.654 0.654 0.939
4 Ho 0.588 0.588 0.385
5 Si 0.063 0.063 0.661
6 Si 0.204 0.204 0.274
7 Ho 0.346 0.346 0.061
8 Si 0.937 0.937 0.339
9 Ni 0.216 0.216 0.643
10 Ni 0.784 0.784 0.357
11 Al 0.000 0.000 0.000

Values from the calculation:
Calculated volume = 18.36 Å³ per atom
E_tot = -63.70 eV per cell
Total moment = 0.000 μB/atom

=====

# 2
Below is a relaxed Ho3Al3SiNi2 crystal, with properties calculated at the PBE level.

Cell: 7.884 7.884 3.139 Å, 90.00 90.00 120.00°
Positions (direct):
1 Al 0.632 0.000 0.000
2 Ho 0.696 0.696 0.500
3 Al 0.000 0.632 0.000
4 Ni 0.333 0.667 0.500
5 Ho 0.304 0.000 0.500
6 Al 0.368 0.368 0.000
7 Ho 0.000 0.304 0.500
8 Ni 0.667 0.333 0.500
9 Si 0.000 0.000 0.000

Values from the calculation:
Calculated volume = 18.77 Å³ per atom
Excess energy over the best structure of this formula in the dataset = 367.5 meV per atom
Total moment = 0.000 μB/atom

=====

# 3
Below is a relaxed Ho3Al3SiNi2 crystal, with properties calculated at the PBE level.

Cell: 7.160 7.160 3.759 Å, 90.00 90.00 120.00°
Positions (direct):
1 Ho 0.407 0.000 0.000
2 Al 0.258 0.258 0.500
3 Al 0.742 0.000 0.500
4 Ni 0.333 0.667 0.500
5 Ni 0.667 0.333 0.500
6 Si 0.000 0.000 0.000
7 Al 0.000 0.742 0.500
8 Ho 0.000 0.407 0.000
9 Ho 0.593 0.593 0.000

Values from the calculation:
Calculated volume = 18.55 Å³ per atom
Excess energy over the best structure of this formula in the dataset = 0.0 meV per atom
Total moment = 0.000 μB/atom

=====

# 4
Below is a relaxed Ho2AlSiNi crystal, with properties calculated at the PBE level.

Cell: 5.512 5.512 5.512 Å, 137.12 77.50 118.92°
Positions (direct):
1 Ni 0.716 0.216 0.500
2 Ho 0.709 0.502 0.207
3 Si 0.285 0.785 0.500
4 Al 0.995 0.995 0.000
5 Ho 0.296 0.502 0.793

Values from the calculation:
Calculated volume = 19.40 Å³ per atom
E_tot = -27.07 eV per cell
Total moment = 0.000 μB/atom

=====

# 5
Below is a relaxed SmHoAlNi2 crystal, with properties calculated at the PBE level.

Cell: 5.396 5.396 5.396 Å, 134.25 119.89 78.68°
Positions (direct):
1 Al 0.000 0.000 0.000
2 Ni 0.267 0.500 0.767
3 Sm 0.704 0.204 0.500
4 Ni 0.733 0.500 0.233
5 Ho 0.296 0.796 0.500

Values from the calculation:
Calculated volume = 18.92 Å³ per atom
E_tot = -26.77 eV per cell
Total moment = 0.002 μB/atom

=====

# 6
Below is a relaxed TbHoAl4Ni2 crystal, with properties calculated at the PBE level.

Cell: 6.877 5.476 5.476 Å, 43.48 90.00 90.00°
Positions (direct):
1 Ho 0.000 0.439 0.439
2 Ni 0.000 0.716 0.716
3 Al 0.805 0.157 0.157
4 Al 0.305 0.843 0.843
5 Tb 0.500 0.561 0.561
6 Ni 0.500 0.284 0.284
7 Al 0.195 0.157 0.157
8 Al 0.695 0.843 0.843

Values from the calculation:
Calculated volume = 17.74 Å³ per atom
E_tot = -40.45 eV per cell
Total moment = 0.000 μB/atom

=====

# 7
Below is a relaxed TbHoAl2Ni4 crystal, with properties calculated at the PBE level.

Cell: 4.137 4.137 8.892 Å, 90.00 90.00 120.00°
Positions (direct):
1 Ni 0.333 0.667 0.815
2 Ni 0.000 0.000 0.689
3 Tb 0.333 0.667 0.500
4 Al 0.667 0.333 0.752
5 Ni 0.000 0.000 0.311
6 Ni 0.333 0.667 0.185
7 Al 0.667 0.333 0.248
8 Ho 0.000 0.000 0.000

Values from the calculation:
Calculated volume = 16.48 Å³ per atom
E_tot = -43.69 eV per cell
Total moment = 0.000 μB/atom

=====

# 8
Below is a relaxed Ho2TmAl3Ni3 crystal, with properties calculated at the PBE level.

Cell: 3.934 6.860 6.860 Å, 119.99 90.00 90.00°
Positions (direct):
1 Al 0.500 0.999 0.763
2 Al 0.500 0.237 0.237
3 Al 0.500 0.763 0.999
4 Ho 0.000 0.416 0.000
5 Ni 0.500 0.336 0.666
6 Ni 0.500 0.666 0.336
7 Tm 0.000 0.586 0.586
8 Ho 0.000 0.000 0.416
9 Ni 0.000 0.998 0.998

Values from the calculation:
Calculated volume = 17.82 Å³ per atom
E_tot = -47.17 eV per cell
Total moment = 0.000 μB/atom

=====

# 9
Below is a relaxed HoTmAl4Ni2 crystal, with properties calculated at the PBE level.

Cell: 6.865 5.434 5.434 Å, 43.76 90.00 90.00°
Positions (direct):
1 Al 0.305 0.845 0.845
2 Ni 0.500 0.284 0.284
3 Ni 0.000 0.716 0.716
4 Al 0.197 0.155 0.155
5 Tm 0.500 0.561 0.561
6 Ho 0.000 0.439 0.439
7 Al 0.803 0.155 0.155
8 Al 0.696 0.845 0.845

Values from the calculation:
Calculated volume = 17.52 Å³ per atom
E_tot = -40.37 eV per cell
Total moment = 0.000 μB/atom

=====

# 10
Below is a relaxed YHo2Al3Ni3 crystal, with properties calculated at the PBE level.

Cell: 3.952 6.907 6.907 Å, 120.23 90.00 90.00°
Positions (direct):
1 Al 0.500 0.000 0.236
2 Ni 0.500 0.670 0.332
3 Ni 0.000 0.997 0.997
4 Al 0.500 0.236 0.000
5 Ho 0.000 0.585 0.000
6 Y 0.000 0.416 0.416
7 Ni 0.500 0.332 0.670
8 Ho 0.000 0.000 0.585
9 Al 0.500 0.764 0.764

Values from the calculation:
Calculated volume = 18.10 Å³ per atom
E_tot = -49.08 eV per cell
Total moment = 0.001 μB/atom

=====

# 11
Below is a relaxed Ho2AlZn3Ni2 crystal, with properties calculated at the PBE level.

Cell: 5.119 5.119 7.158 Å, 90.02 90.02 46.45°
Positions (direct):
1 Ni 0.777 0.777 0.753
2 Ho 0.064 0.064 0.748
3 Al 0.652 0.652 0.056
4 Ho 0.936 0.936 0.257
5 Ni 0.217 0.217 0.243
6 Zn 0.647 0.647 0.445
7 Zn 0.351 0.351 0.555
8 Zn 0.356 0.356 0.944

Values from the calculation:
Calculated volume = 17.00 Å³ per atom
E_tot = -31.67 eV per cell
Total moment = 0.000 μB/atom

=====

# 12
Below is a relaxed Ho2Al3ZnNi2 crystal, with properties calculated at the PBE level.

Cell: 5.310 5.310 6.987 Å, 90.29 90.29 45.08°
Positions (direct):
1 Ni 0.215 0.215 0.747
2 Ni 0.779 0.779 0.257
3 Al 0.658 0.658 0.946
4 Ho 0.937 0.937 0.752
5 Zn 0.351 0.351 0.054
6 Al 0.651 0.651 0.555
7 Ho 0.062 0.062 0.245
8 Al 0.347 0.347 0.444

Values from the calculation:
Calculated volume = 17.44 Å³ per atom
E_tot = -37.45 eV per cell
Total moment = 0.000 μB/atom